# 1
Below is a relaxed Tm3Ga9Co2 crystal, with properties calculated at the PBE level.

Computed properties:
energy of formation from the pure elements	-0.50	eV/atom

Lattice parameters (Å, degrees): 4.1936 9.4131 12.0600 90.00 90.00 90.00
Space group Immm (No. 71)
Asymmetric unit:
1 Tm 0.0000 0.0000 0.0000 x2
2 Tm 0.0000 0.0000 0.3027 x4
3 Ga 0.0000 0.2836 0.1311 x8
4 Ga 0.0000 0.3626 0.3498 x8
5 Ga 0.0000 0.5000 0.0000 x2
6 Co 0.0000 0.1743 0.5000 x4


# 2
Below is a relaxed ReGeSe2N crystal, with properties calculated at the PBE level.

Computed properties:
offset from the most stable computed form	1.016	eV per atom
ΔE_f (raw)	1345.9	meV/atom

Lattice parameters (Å, degrees): 5.1185 5.1185 3.4375 90.00 90.00 90.00
Space group P4/mmm (No. 123)
Asymmetric unit:
1 Re 0.0000 0.0000 0.0000 x1
2 Ge 0.5000 0.5000 0.5000 x1
3 Se 0.0000 0.5000 0.5000 x2
4 N 0.5000 0.5000 0.0000 x1


# 3
Below is a relaxed Tl14SbPb crystal, with properties calculated at the PBE level.

Computed properties:
ΔE_f (raw)	5.9	meV/atom

Lattice parameters (Å, degrees): 11.3082 7.1549 12.2021 90.00 90.00 90.00
Space group Amm2 (No. 38)
Asymmetric unit:
1 Tl 0.0000 0.0000 0.0000 x2
2 Tl 0.0000 0.0000 0.4955 x2
3 Tl 0.0000 0.2468 0.7495 x4
4 Tl 0.2453 0.0000 0.1692 x4
5 Tl 0.2511 0.0000 0.6652 x4
6 Tl 0.2562 0.2459 0.9176 x8
7 Tl 0.5000 0.2464 0.0866 x4
8 Sb 0.5000 0.0000 0.8275 x2
9 Pb 0.5000 0.0000 0.3315 x2


Which volume belongs to each record? In order, 17.00, 18.01, 30.85 Å³/atom.